No. 1
Compound: Pr3Cd2Bi
Source: Alexandria via LeMat-Bulk
Functional: PBE-GGA
Structure: optimized geometry

The structure belongs to space group Cmmm (No. 65); the cell edges are 5.340, 16.252 and 4.165 Å and the angles 90.00°, 90.00° and 90.00°. The asymmetric unit holds Pr at (0.000, 0.000, 0.000), Pr at (0.000, 0.335, 0.000), Cd at (0.000, 0.178, 0.500) and Bi at (0.000, 0.500, 0.500).

The value obtained for the formation energy is -0.48 eV per atom.



No. 2
Compound: Pr2CdBi4
Source: Alexandria via LeMat-Bulk
Functional: PBE-GGA
Structure: optimized geometry

The structure belongs to space group P-4m2 (No. 115); the cell edges are 4.619, 4.619 and 10.580 Å and the angles 90.00°, 90.00° and 90.00°. The asymmetric unit holds Pr at (0.000, 0.500, 0.245), Cd at (0.000, 0.000, 0.500), Bi at (0.000, 0.000, 0.000), Bi at (0.000, 0.500, 0.678) and Bi at (0.500, 0.500, 0.000).

The value obtained for the formation energy is -0.55 eV per atom.



No. 3
Compound: PrCdBi
Source: Alexandria via LeMat-Bulk
Functional: PBE-GGA
Structure: optimized geometry

The structure belongs to space group I4mm (No. 107); the cell edges are 4.361, 4.361 and 9.705 Å and the angles 90.00°, 90.00° and 90.00°. The asymmetric unit holds Pr at (0.000, 0.000, 0.000), Cd at (0.000, 0.000, 0.330) and Bi at (0.000, 0.000, 0.656).

The value obtained for the formation energy is -0.37 eV per atom.



No. 4
Compound: Pr2Cd16Bi
Source: Alexandria via LeMat-Bulk
Functional: PBE-GGA
Structure: optimized geometry

The structure belongs to space group R3m (No. 160, hexagonal axes); the cell edges are 10.3473, 10.3473 and 14.7010 Å and the angles 90.00°, 90.00° and 120.00°. The asymmetric unit holds Pr at (0.0000, 0.0000, 0.0000), Pr at (0.0000, 0.0000, 0.3293), Cd at (0.0000, 0.0000, 0.5585), Cd at (0.0019, 0.3152, 0.6648), Cd at (0.0173, 0.5086, 0.1631), Cd at (0.0176, 0.5088, 0.8207), Cd at (0.1743, 0.3486, 0.8439) and Bi at (0.0000, 0.0000, 0.7694).

The value obtained for the formation energy is -0.16 eV per atom.



No. 5
Compound: Pr2Cd3Bi3
Source: Alexandria via LeMat-Bulk
Functional: PBE-GGA
Structure: optimized geometry

The structure belongs to space group Pmmm (No. 47); the cell edges are 4.757, 5.124 and 9.348 Å and the angles 90.00°, 90.00° and 90.00°. The asymmetric unit holds Pr at (0.000, 0.000, 0.248), Cd at (0.000, 0.500, 0.500), Cd at (0.500, 0.500, 0.269), Bi at (0.000, 0.500, 0.000), Bi at (0.500, 0.000, 0.000) and Bi at (0.500, 0.000, 0.500).

The value obtained for the formation energy is -0.44 eV per atom.



No. 6
Compound: PrCdBi
Source: Alexandria via LeMat-Bulk
Functional: PBE-GGA
Structure: optimized geometry

The structure belongs to space group P3m1 (No. 156); the cell edges are 4.8714, 4.8714 and 4.4559 Å and the angles 90.00°, 90.00° and 120.00°. The asymmetric unit holds Pr at (0.0000, 0.0000, 0.0000), Cd at (0.3333, 0.6667, 0.6695) and Bi at (0.6667, 0.3333, 0.4205).

The value obtained for the formation energy is -0.47 eV per atom.



No. 7
Compound: PrCdBi4Rh2
Source: Alexandria via LeMat-Bulk
Functional: PBE-GGA
Structure: optimized geometry

The structure belongs to space group P4/mmm (No. 123); the cell edges are 4.667, 4.667 and 10.591 Å and the angles 90.00°, 90.00° and 90.00°. The asymmetric unit holds Pr at (0.000, 0.000, 0.000), Cd at (0.000, 0.000, 0.500), Bi at (0.000, 0.500, 0.236) and Rh at (0.500, 0.500, 0.375).

The value obtained for the formation energy is 0.03 eV per atom.



No. 8
Compound: PrCdBiSe
Source: Alexandria via LeMat-Bulk
Functional: PBE-GGA
Structure: optimized geometry

The structure belongs to space group P4/nmm (No. 129, origin choice 2); the cell edges are 4.881, 4.881 and 9.737 Å and the angles 90.00°, 90.00° and 90.00°. The asymmetric unit holds Pr at (0.250, 0.250, 0.170), Cd at (0.250, 0.750, 0.500), Bi at (0.250, 0.250, 0.700) and Se at (0.250, 0.750, 0.000).

For the uncorrected formation energy, the calculation gives -80 kJ/mol of atoms.



No. 9
Compound: PrSmCdBi
Source: Alexandria via LeMat-Bulk
Functional: PBE-GGA
Structure: optimized geometry

The structure belongs to space group F-43m (No. 216); the cell edges are 7.805, 7.805 and 7.805 Å and the angles 90.00°, 90.00° and 90.00°. The asymmetric unit holds Pr at (0.000, 0.000, 0.000), Sm at (0.000, 0.000, 0.500), Cd at (0.250, 0.250, 0.250) and Bi at (0.250, 0.250, 0.750).

The value obtained for the formation energy is -0.49 eV per atom.



No. 10
Compound: PrCdSnBi
Source: Alexandria via LeMat-Bulk
Functional: PBE-GGA
Structure: optimized geometry

The structure belongs to space group Pmmm (No. 47); the cell edges are 4.564, 4.931 and 4.991 Å and the angles 90.00°, 90.00° and 90.00°. The asymmetric unit holds Pr at (0.000, 0.000, 0.000), Cd at (0.000, 0.500, 0.500), Sn at (0.500, 0.500, 0.000) and Bi at (0.500, 0.000, 0.500).

The value obtained for the formation energy is -0.47 eV per atom.



No. 11
Compound: TbPrCdBi
Source: Alexandria via LeMat-Bulk
Functional: PBE-GGA
Structure: optimized geometry

The structure belongs to space group F-43m (No. 216); the cell edges are 7.758, 7.758 and 7.758 Å and the angles 90.00°, 90.00° and 90.00°. The asymmetric unit holds Tb at (0.000, 0.000, 0.000), Pr at (0.000, 0.000, 0.500), Cd at (0.250, 0.250, 0.750) and Bi at (0.250, 0.250, 0.250).

The value obtained for the formation energy is -0.46 eV per atom.



No. 12
Compound: PrCdBiTe
Source: Alexandria via LeMat-Bulk
Functional: PBE-GGA
Structure: optimized geometry

The structure belongs to space group P4/nmm (No. 129, origin choice 2); the cell edges are 5.120, 5.120 and 9.343 Å and the angles 90.00°, 90.00° and 90.00°. The asymmetric unit holds Pr at (0.250, 0.250, 0.205), Cd at (0.250, 0.750, 0.500), Bi at (0.250, 0.250, 0.697) and Te at (0.250, 0.750, 0.000).

For the uncorrected formation energy, the calculation gives -57 kJ/mol of atoms.



No. 13
Compound: CdBi3Pt
Source: Alexandria via LeMat-Bulk
Functional: PBE-GGA
Structure: optimized geometry

The structure belongs to space group C2/m (No. 12); the cell edges are 11.148, 9.062 and 7.077 Å and the angles 90.00°, 128.44° and 90.00°. The asymmetric unit holds Cd at (0.057, 0.000, 0.249), Bi at (0.074, 0.500, 0.334), Bi at (0.199, 0.195, 0.734) and Pt at (0.244, 0.500, 0.873).

The value obtained for the formation energy is -0.10 eV per atom.



No. 14
Compound: CdBi12Pt4
Source: Alexandria via LeMat-Bulk
Functional: PBE-GGA
Structure: optimized geometry

The structure belongs to space group Im-3 (No. 204); the cell edges are 9.995, 9.995 and 9.995 Å and the angles 90.00°, 90.00° and 90.00°. The asymmetric unit holds Cd at (0.000, 0.000, 0.000), Bi at (0.000, 0.157, 0.338) and Pt at (0.250, 0.250, 0.250).

The value obtained for the formation energy is -0.16 eV per atom.



No. 15
Compound: CdBi2Pt2
Source: Alexandria via LeMat-Bulk
Functional: PBE-GGA
Structure: optimized geometry

The structure belongs to space group P4/mbm (No. 127); the cell edges are 8.361, 8.361 and 3.357 Å and the angles 90.00°, 90.00° and 90.00°. The asymmetric unit holds Cd at (0.000, 0.000, 0.000), Bi at (0.163, 0.337, 0.000) and Pt at (0.126, 0.626, 0.500).

The value obtained for the formation energy is 0.05 eV per atom.



No. 16
Compound: Cd2BiPt
Source: Alexandria via LeMat-Bulk
Functional: PBE-GGA
Structure: optimized geometry

The structure belongs to space group R-3m (No. 166, hexagonal axes); the cell edges are 3.1265, 3.1265 and 33.9623 Å and the angles 90.00°, 90.00° and 120.00°. The asymmetric unit holds Cd at (0.0000, 0.0000, 0.0792), Bi at (0.0000, 0.0000, 0.5000) and Pt at (0.0000, 0.0000, 0.0000).

The value obtained for the formation energy is 0.32 eV per atom.



No. 17
Compound: CdBiPt4
Source: Alexandria via LeMat-Bulk
Functional: PBE-GGA
Structure: optimized geometry

The structure belongs to space group F-43m (No. 216); the cell edges are 7.679, 7.679 and 7.679 Å and the angles 90.00°, 90.00° and 90.00°. The asymmetric unit holds Cd at (0.000, 0.000, 0.000), Bi at (0.250, 0.250, 0.750) and Pt at (0.125, 0.125, 0.375).

The value obtained for the formation energy is -0.16 eV per atom.



No. 18
Compound: CdBi12Pt7
Source: Alexandria via LeMat-Bulk
Functional: PBE-GGA
Structure: optimized geometry

The structure belongs to space group R-3 (No. 148, hexagonal axes); the cell edges are 13.0158, 13.0158 and 11.0964 Å and the angles 90.00°, 90.00° and 120.00°. The asymmetric unit holds Cd at (0.0000, 0.0000, 0.0000), Bi at (0.0436, 0.4476, 0.6385), Bi at (0.0443, 0.8487, 0.3573), Pt at (0.0000, 0.0000, 0.5000) and Pt at (0.0364, 0.8850, 0.8086).

The value obtained for the formation energy is -0.09 eV per atom.



No. 19
Compound: Cd2BiPt2
Source: Alexandria via LeMat-Bulk
Functional: PBE-GGA
Structure: optimized geometry

The structure belongs to space group I4/mmm (No. 139); the cell edges are 3.971, 3.971 and 13.491 Å and the angles 90.00°, 90.00° and 90.00°. The asymmetric unit holds Cd at (0.000, 0.500, 0.250), Bi at (0.000, 0.000, 0.000) and Pt at (0.000, 0.000, 0.400).

The value obtained for the formation energy is -0.14 eV per atom.



No. 20
Compound: CdBi2Pt
Source: Alexandria via LeMat-Bulk
Functional: PBE-GGA
Structure: optimized geometry

The structure belongs to space group R3m (No. 160, hexagonal axes); the cell edges are 4.3700, 4.3700 and 20.1888 Å and the angles 90.00°, 90.00° and 120.00°. The asymmetric unit holds Cd at (0.0000, 0.0000, 0.0000), Bi at (0.0000, 0.0000, 0.5621), Bi at (0.0000, 0.0000, 0.7667) and Pt at (0.0000, 0.0000, 0.1605).

The value obtained for the formation energy is -0.11 eV per atom.



No. 21
Compound: CdBi2Pt2
Source: Alexandria via LeMat-Bulk
Functional: PBE-GGA
Structure: optimized geometry

The structure belongs to space group I4/mmm (No. 139); the cell edges are 5.533, 5.533 and 8.075 Å and the angles 90.00°, 90.00° and 90.00°. The asymmetric unit holds Cd at (0.000, 0.000, 0.000), Bi at (0.000, 0.500, 0.250) and Pt at (0.000, 0.000, 0.341).

The value obtained for the formation energy is -0.06 eV per atom.



No. 22
Compound: CdBi2Pt
Source: Alexandria via LeMat-Bulk
Functional: PBE-GGA
Structure: optimized geometry

The structure belongs to space group I-42d (No. 122); the cell edges are 6.593, 6.593 and 12.773 Å and the angles 90.00°, 90.00° and 90.00°. The asymmetric unit holds Cd at (0.000, 0.000, 0.000), Bi at (0.208, 0.250, 0.625) and Pt at (0.000, 0.000, 0.500).

The value obtained for the formation energy is 0.16 eV per atom.